# 1
Below is a geometry-optimized MnPt2 structure, with properties calculated at the PBE level.

Cell: 3.8329 11.9291 3.9885 Å, 90.00 90.00 90.00°
Space group Cmcm (No. 63)
Asymmetric unit:
1 Mn 0.0000 0.0890 0.2500 x4
2 Pt 0.0000 0.2549 0.7500 x4
3 Pt 0.0000 0.4206 0.2500 x4


# 2
Below is a geometry-optimized Mn3Pt structure, with properties calculated at the PBE level.

Cell: 5.2243 5.2243 4.0515 Å, 90.00 90.00 120.00°
Space group P6_3/mmc (No. 194)
Asymmetric unit:
1 Mn 0.1512 0.3025 0.2500 x6
2 Pt 0.3333 0.6667 0.7500 x2


# 3
Below is a geometry-optimized Mn5Pt structure, with properties calculated at the PBE level.

Cell: 6.6484 6.6484 6.6484 Å, 90.00 90.00 90.00°
Space group F-43m (No. 216)
Asymmetric unit:
1 Mn 0.0000 0.0000 0.0000 x4
2 Mn 0.1240 0.1240 0.6240 x16
3 Pt 0.2500 0.2500 0.2500 x4


# 4
Below is a geometry-optimized Mn8Pt structure, with properties calculated at the PBE level.

Cell: 7.5897 7.5897 3.5461 Å, 90.00 90.00 90.00°
Space group I4/mmm (No. 139)
Asymmetric unit:
1 Mn 0.0000 0.3404 0.0000 x8
2 Mn 0.1772 0.1772 0.5000 x8
3 Pt 0.0000 0.0000 0.0000 x2


# 5
Below is a geometry-optimized MnPt structure, with properties calculated at the PBE level.

Cell: 2.6646 3.5678 5.6396 Å, 90.00 91.53 90.00°
Space group P2_1/m (No. 11)
Asymmetric unit:
1 Mn 0.2044 0.2500 0.0936 x2
2 Pt 0.2557 0.2500 0.6501 x2


# 6
Below is a geometry-optimized MnPt structure, with properties calculated at the PBE level.

Cell: 2.8327 4.6986 4.6277 Å, 90.00 90.00 90.00°
Space group Pmmn (No. 59, origin choice 2)
Asymmetric unit:
1 Mn 0.2500 0.2500 0.1160 x2
2 Pt 0.2500 0.7500 0.3757 x2


| no. | E_form (eV per formula unit) | N(E_F) (states/eV/atom) |
| --- | --- | --- |
| 1 | -0.99 | 1.0315 |
| 2 | -0.65 | 0.4807 |
| 3 | 0.16 | 1.2867 |
| 4 | 0.43 | 1.3467 |
| 5 | -0.07 | 1.0947 |
| 6 | -0.38 | 0.4978 |